1.
12
Lattice="5.891 0.000 0.000 2.946 8.758 1.015 2.946 1.110 7.451" Properties=species:S:1:pos:R:3 comment="PBE Sm7HoTl4, optimized geometry" magnetic_moment_mub_per_cell=0.000 space_group=C2/m final_energy_ev_per_cell=-47.7 e_form_ev_per_atom=-0.050 pbc="T T T"
Sm 2.946 0.000 0.000
Sm 8.837 4.335 5.846
Tl 5.891 3.181 4.914
Sm 2.946 5.533 2.620
Sm 5.891 2.952 1.879
Sm 8.837 8.293 4.803
Sm 5.891 6.915 6.587
Tl 2.946 2.989 0.600
Ho 0.000 0.000 0.000
Tl 8.837 6.879 7.866
Sm 2.945 1.575 3.663
Tl 5.891 6.686 3.552

=====

2.
5
Lattice="-2.053 -3.254 0.560 3.101 -1.674 1.644 -1.047 -0.643 5.920" Properties=species:S:1:pos:R:3 comment="PBE YZn2Ni2, optimized geometry" de_polymorph_ev_per_atom=0.000 magnetic_moment_mub_per_cell=0.000 space_group=I4/mmm final_energy_ev_per_cell=-22.4 e_form_ev_per_atom=-0.357 pbc="T T T"
Ni 0.186 -2.072 2.139
Zn 1.289 -2.390 4.333
Zn -1.288 -3.180 3.791
Y 0.000 0.000 0.000
Ni -0.185 -3.499 5.985

=====

3.
8
Lattice="3.994 0.000 0.000 0.000 6.926 0.132 0.000 -2.409 6.516" Properties=species:S:1:pos:R:3 comment="PBE TbNd2HfP4, optimized geometry" magnetic_moment_mub_per_cell=0.000 space_group=P2/m final_energy_ev_per_cell=-57.6 e_form_ev_per_atom=-1.484 pbc="T T T"
P 0.000 -0.155 5.031
Nd 0.000 2.259 3.324
Tb 1.997 3.463 0.066
Nd 1.997 -1.204 3.258
Hf 0.000 0.000 0.000
P 1.997 3.456 5.143
P 1.997 1.061 1.506
P 0.000 4.672 1.617

=====

4.
5
Lattice="5.283 0.000 0.000 0.000 5.283 0.000 0.000 0.000 5.362" Properties=species:S:1:pos:R:3 comment="PBE CaTlCd2Pt, optimized geometry" magnetic_moment_mub_per_cell=0.000 space_group=P4/mmm final_energy_ev_per_cell=-13.5 e_form_ev_per_atom=-0.262 pbc="T T T"
Pt 0.000 0.000 0.000
Ca 0.000 0.000 2.681
Cd 2.642 0.000 0.000
Cd 0.000 2.642 0.000
Tl 2.642 2.642 2.681